Computed, not measured: a geometry-optimized YPaCo2 structure at the PBE-GGA level of DFT.

Properties
The calculation puts the total magnetic moment at 0.0 μB/cell. The total energy comes out at -7.71 eV per atom. Its formation energy is -0.1654 eV/atom.

```
data_YPaCo2
_chemical_formula_sum 'Y3 Pa3 Co6'
_space_group_name_H-M_alt 'R 3 m'
_space_group_IT_number 160
_space_group_name_Hall 'R 3 -2"'
_cell_length_a 3.6500
_cell_length_b 3.6500
_cell_length_c 20.6809
_cell_angle_alpha 90.00
_cell_angle_beta 90.00
_cell_angle_gamma 120.00
loop_
_atom_site_label
_atom_site_type_symbol
_atom_site_fract_x
_atom_site_fract_y
_atom_site_fract_z
Y1 Y 0.0000 0.0000 0.0000
Pa1 Pa 0.0000 0.0000 0.8285
Co1 Co 0.0000 0.0000 0.2376
Co2 Co 0.0000 0.0000 0.4229
```

=====

Computed, not measured: a geometry-optimized YPaCo2 structure at the PBE-GGA level of DFT.

Properties
The calculation puts the total magnetic moment at 0.0 μB/cell. The total energy comes out at -7.74 eV per atom. Its formation energy is -0.2020 eV/atom.

```
data_YPaCo2
_chemical_formula_sum 'Y3 Pa3 Co6'
_space_group_name_H-M_alt 'R -3 m'
_space_group_IT_number 166
_space_group_name_Hall '-R 3 2"'
_cell_length_a 3.7088
_cell_length_b 3.7088
_cell_length_c 19.9590
_cell_angle_alpha 90.00
_cell_angle_beta 90.00
_cell_angle_gamma 120.00
loop_
_atom_site_label
_atom_site_type_symbol
_atom_site_fract_x
_atom_site_fract_y
_atom_site_fract_z
Y1 Y 0.0000 0.0000 0.0000
Pa1 Pa 0.0000 0.0000 0.5000
Co1 Co 0.0000 0.0000 0.2404
```

=====

Computed, not measured: a geometry-optimized YPaCo4 structure at the PBE-GGA level of DFT.

Properties
The calculation puts the total magnetic moment at 0.0 μB/cell. The total energy comes out at -7.62 eV per atom. Its formation energy is -0.2179 eV/atom.

```
data_YPaCo4
_chemical_formula_sum 'Y4 Pa4 Co16'
_space_group_name_H-M_alt 'F -4 3 m'
_space_group_IT_number 216
_space_group_name_Hall 'F -4 2 3'
_cell_length_a 7.070
_cell_length_b 7.070
_cell_length_c 7.070
_cell_angle_alpha 90.00
_cell_angle_beta 90.00
_cell_angle_gamma 90.00
loop_
_atom_site_label
_atom_site_type_symbol
_atom_site_fract_x
_atom_site_fract_y
_atom_site_fract_z
Y1 Y 0.000 0.000 0.000
Pa1 Pa 0.250 0.250 0.250
Co1 Co 0.125 0.125 0.625
```

=====

Computed, not measured: a geometry-optimized YPaCo2 structure at the PBE-GGA level of DFT.

Properties
The calculation puts the total magnetic moment at 0.0 μB/cell. The total energy comes out at -7.68 eV per atom. Its formation energy is -0.1331 eV/atom.

```
data_YPaCo2
_chemical_formula_sum 'Y1 Pa1 Co2'
_space_group_name_H-M_alt 'P 4/m m m'
_space_group_IT_number 123
_space_group_name_Hall '-P 4 2'
_cell_length_a 4.734
_cell_length_b 4.734
_cell_length_c 3.284
_cell_angle_alpha 90.00
_cell_angle_beta 90.00
_cell_angle_gamma 90.00
loop_
_atom_site_label
_atom_site_type_symbol
_atom_site_fract_x
_atom_site_fract_y
_atom_site_fract_z
Y1 Y 0.000 0.000 0.000
Pa1 Pa 0.500 0.500 0.000
Co1 Co 0.000 0.500 0.500
```

=====

Computed, not measured: a geometry-optimized Y3Pa2Co4 structure at the PBE-GGA level of DFT.

Properties
The calculation puts the total magnetic moment at 0.0 μB/cell. The total energy comes out at -7.68 eV per atom. Its formation energy is -0.2554 eV/atom.

```
data_Y3Pa2Co4
_chemical_formula_sum 'Y6 Pa4 Co8'
_space_group_name_H-M_alt 'C 1 2/m 1'
_space_group_IT_number 12
_cell_length_a 14.965
_cell_length_b 3.625
_cell_length_c 7.217
_cell_angle_alpha 90.00
_cell_angle_beta 109.08
_cell_angle_gamma 90.00
loop_
_space_group_symop_operation_xyz
'x,y,z'
'-x,-y,-z'
'-x,y,-z'
'x,-y,z'
'x+1/2,y+1/2,z'
'-x+1/2,-y+1/2,-z'
'-x+1/2,y+1/2,-z'
'x+1/2,-y+1/2,z'
loop_
_atom_site_label
_atom_site_type_symbol
_atom_site_fract_x
_atom_site_fract_y
_atom_site_fract_z
Y1 Y 0.000 0.000 0.000
Y2 Y 0.096 0.500 0.707
Pa1 Pa 0.188 0.500 0.273
Co1 Co 0.119 0.000 0.426
Co2 Co 0.204 0.000 0.032
```

=====

Computed, not measured: a geometry-optimized Y2Pa3Co4 structure at the PBE-GGA level of DFT.

Properties
The calculation puts the total magnetic moment at 0.0 μB/cell. The total energy comes out at -8.08 eV per atom. Its formation energy is -0.3154 eV/atom.

```
data_Y2Pa3Co4
_chemical_formula_sum 'Y4 Pa6 Co8'
_space_group_name_H-M_alt 'P 1 21/c 1'
_space_group_IT_number 14
_cell_length_a 7.797
_cell_length_b 7.219
_cell_length_c 6.645
_cell_angle_alpha 90.00
_cell_angle_beta 109.40
_cell_angle_gamma 90.00
loop_
_space_group_symop_operation_xyz
'x,y,z'
'-x,-y,-z'
'-x,y+1/2,-z+1/2'
'x,-y+1/2,z+1/2'
loop_
_atom_site_label
_atom_site_type_symbol
_atom_site_fract_x
_atom_site_fract_y
_atom_site_fract_z
Y1 Y 0.190 0.175 0.070
Pa1 Pa 0.233 0.662 0.238
Pa2 Pa 0.500 0.000 0.500
Co1 Co 0.081 0.560 0.865
Co2 Co 0.486 0.620 0.640
```

=====

Computed, not measured: a geometry-optimized YPaCo2 structure at the PBE-GGA level of DFT.

Properties
The calculation puts the total magnetic moment at 0.0 μB/cell. The total energy comes out at -7.63 eV per atom. Its formation energy is -0.0899 eV/atom.

```
data_YPaCo2
_chemical_formula_sum 'Y4 Pa4 Co8'
_space_group_name_H-M_alt 'F m -3 m'
_space_group_IT_number 225
_space_group_name_Hall '-F 4 2 3'
_cell_length_a 6.666
_cell_length_b 6.666
_cell_length_c 6.666
_cell_angle_alpha 90.00
_cell_angle_beta 90.00
_cell_angle_gamma 90.00
loop_
_atom_site_label
_atom_site_type_symbol
_atom_site_fract_x
_atom_site_fract_y
_atom_site_fract_z
Y1 Y 0.000 0.000 0.000
Pa1 Pa 0.000 0.000 0.500
Co1 Co 0.250 0.250 0.250
```

=====

Computed, not measured: a geometry-optimized Y12PaCo7 structure at the PBE-GGA level of DFT.

Properties
The calculation puts the total magnetic moment at 0.0 μB/cell. The total energy comes out at -7.00 eV per atom. Its formation energy is -0.1580 eV/atom.

```
data_Y12PaCo7
_chemical_formula_sum 'Y36 Pa3 Co21'
_space_group_name_H-M_alt 'R -3'
_space_group_IT_number 148
_space_group_name_Hall '-R 3'
_cell_length_a 14.2176
_cell_length_b 14.2176
_cell_length_c 8.5543
_cell_angle_alpha 90.00
_cell_angle_beta 90.00
_cell_angle_gamma 120.00
loop_
_atom_site_label
_atom_site_type_symbol
_atom_site_fract_x
_atom_site_fract_y
_atom_site_fract_z
Y1 Y 0.0086 0.4298 0.3341
Y2 Y 0.0452 0.1710 0.3005
Pa1 Pa 0.0000 0.0000 0.0000
Co1 Co 0.0000 0.0000 0.5000
Co2 Co 0.0463 0.1801 0.9104
```

=====

Computed, not measured: a geometry-optimized YPaCo structure at the PBE-GGA level of DFT.

Properties
The calculation puts the total magnetic moment at 0.0 μB/cell. The total energy comes out at -7.61 eV per atom. Its formation energy is 0.0792 eV/atom.

```
data_YPaCo
_chemical_formula_sum 'Y1 Pa1 Co1'
_space_group_name_H-M_alt 'P -6 m 2'
_space_group_IT_number 187
_space_group_name_Hall 'P -6 2'
_cell_length_a 4.1847
_cell_length_b 4.1847
_cell_length_c 4.7596
_cell_angle_alpha 90.00
_cell_angle_beta 90.00
_cell_angle_gamma 120.00
loop_
_atom_site_label
_atom_site_type_symbol
_atom_site_fract_x
_atom_site_fract_y
_atom_site_fract_z
Y1 Y 0.0000 0.0000 0.0000
Pa1 Pa 0.6667 0.3333 0.5000
Co1 Co 0.3333 0.6667 0.5000
```

=====

Computed, not measured: a geometry-optimized YPaCo structure at the PBE-GGA level of DFT.

Properties
The calculation puts the total magnetic moment at 0.0 μB/cell. The total energy comes out at -7.91 eV per atom. Its formation energy is -0.2179 eV/atom.

```
data_YPaCo
_chemical_formula_sum 'Y4 Pa4 Co4'
_space_group_name_H-M_alt 'P 1 21/c 1'
_space_group_IT_number 14
_cell_length_a 6.890
_cell_length_b 5.943
_cell_length_c 6.784
_cell_angle_alpha 90.00
_cell_angle_beta 105.67
_cell_angle_gamma 90.00
loop_
_space_group_symop_operation_xyz
'x,y,z'
'-x,-y,-z'
'-x,y+1/2,-z+1/2'
'x,-y+1/2,z+1/2'
loop_
_atom_site_label
_atom_site_type_symbol
_atom_site_fract_x
_atom_site_fract_y
_atom_site_fract_z
Y1 Y 0.148 0.144 0.361
Pa1 Pa 0.406 0.653 0.310
Co1 Co 0.174 0.634 0.514
```

=====

Computed, not measured: a geometry-optimized Y2PaCo3 structure at the PBE-GGA level of DFT.

Properties
The calculation puts the total magnetic moment at 0.0 μB/cell. The total energy comes out at -7.47 eV per atom. Its formation energy is -0.1768 eV/atom.

```
data_Y2PaCo3
_chemical_formula_sum 'Y8 Pa4 Co12'
_space_group_name_H-M_alt 'P n m a'
_space_group_IT_number 62
_cell_length_a 6.632
_cell_length_b 3.778
_cell_length_c 19.278
_cell_angle_alpha 90.00
_cell_angle_beta 90.00
_cell_angle_gamma 90.00
loop_
_space_group_symop_operation_xyz
'x,y,z'
'-x,-y,-z'
'-x+1/2,-y,z+1/2'
'x+1/2,y,-z+1/2'
'x+1/2,-y+1/2,-z+1/2'
'-x+1/2,y+1/2,z+1/2'
'-x,y+1/2,-z'
'x,-y+1/2,z'
loop_
_atom_site_label
_atom_site_type_symbol
_atom_site_fract_x
_atom_site_fract_y
_atom_site_fract_z
Y1 Y 0.118 0.250 0.093
Y2 Y 0.236 0.250 0.281
Pa1 Pa 0.085 0.750 0.426
Co1 Co 0.047 0.750 0.204
Co2 Co 0.099 0.250 0.669
Co3 Co 0.248 0.750 0.987
```

=====

Computed, not measured: a geometry-optimized YPaCo structure at the PBE-GGA level of DFT.

Properties
The calculation puts the total magnetic moment at 0.0 μB/cell. The total energy comes out at -7.82 eV per atom. Its formation energy is -0.1339 eV/atom.

```
data_YPaCo
_chemical_formula_sum 'Y2 Pa2 Co2'
_space_group_name_H-M_alt 'I 4 m m'
_space_group_IT_number 107
_space_group_name_Hall 'I 4 -2'
_cell_length_a 3.428
_cell_length_b 3.428
_cell_length_c 11.174
_cell_angle_alpha 90.00
_cell_angle_beta 90.00
_cell_angle_gamma 90.00
loop_
_atom_site_label
_atom_site_type_symbol
_atom_site_fract_x
_atom_site_fract_y
_atom_site_fract_z
Y1 Y 0.000 0.000 0.000
Pa1 Pa 0.000 0.000 0.291
Co1 Co 0.000 0.000 0.700
```